P.
The following is a DFT calculation (PBE) of a relaxed structure of ErSc2Zn.

a b c (Å): 3.3876 3.3876 29.1684
angles (deg): 90.00 90.00 120.00
Space group R3m (No. 160, hexagonal axes)
Unique sites:
Er 0.0000 0.0000 0.0000 (multiplicity 3)
Sc 0.0000 0.0000 0.2395 (multiplicity 3)
Sc 0.0000 0.0000 0.4282 (multiplicity 3)
Zn 0.0000 0.0000 0.8343 (multiplicity 3)

- Volume: 290 Å³ per cell
- Density: 5.54 g/cm³



Q.
The following is a DFT calculation (PBE) of a relaxed structure of ErSc2Zn.

a b c (Å): 3.3608 3.3608 8.2340
angles (deg): 90.00 90.00 90.00
Space group P4/mmm (No. 123)
Unique sites:
Er 0.0000 0.0000 0.0000 (multiplicity 1)
Sc 0.5000 0.5000 0.2975 (multiplicity 2)
Zn 0.0000 0.0000 0.5000 (multiplicity 1)

- Volume: 93 Å³ per cell
- Density: 5.76 g/cm³



R.
The following is a DFT calculation (PBE) of a relaxed structure of ErSc2Zn.

a b c (Å): 4.4731 4.4731 4.5652
angles (deg): 90.00 90.00 90.00
Space group P4/mmm (No. 123)
Unique sites:
Er 0.0000 0.0000 0.0000 (multiplicity 1)
Sc 0.0000 0.5000 0.5000 (multiplicity 2)
Zn 0.5000 0.5000 0.0000 (multiplicity 1)

- Volume: 91 Å³ per cell
- Density: 5.86 g/cm³



Stability summary - winner: Q; margin: 85 meV per atom.



P.
The following is a DFT calculation (PBE) of a relaxed structure of ErSc2Zn.

a b c (Å): 3.4783 5.0225 10.6745
angles (deg): 90.00 90.00 90.00
Space group Immm (No. 71)
Unique sites:
Er 0.0000 0.0000 0.0000 (multiplicity 2)
Sc 0.0000 0.5000 0.2161 (multiplicity 4)
Zn 0.0000 0.0000 0.5000 (multiplicity 2)

- Volume: 186 Å³ per cell
- Density: 5.74 g/cm³



Q.
The following is a DFT calculation (PBE) of a relaxed structure of ErSc2Zn.

a b c (Å): 3.2647 3.2647 32.2317
angles (deg): 90.00 90.00 120.00
Space group R-3m (No. 166, hexagonal axes)
Unique sites:
Er 0.0000 0.0000 0.0000 (multiplicity 3)
Sc 0.0000 0.0000 0.1002 (multiplicity 6)
Zn 0.0000 0.0000 0.5000 (multiplicity 3)

- Volume: 298 Å³ per cell
- Density: 5.40 g/cm³



Stability summary - winner: P; margin: 322 meV per atom.



P.
The following is a DFT calculation (PBE) of a relaxed structure of Er2ScZn2.

a b c (Å): 3.7833 6.5460 9.4853
angles (deg): 90.00 90.00 90.00
Space group Immm (No. 71)
Unique sites:
Er 0.0000 0.0000 0.2127 (multiplicity 4)
Sc 0.0000 0.5000 0.0000 (multiplicity 2)
Zn 0.0000 0.3036 0.5000 (multiplicity 4)

- Volume: 235 Å³ per cell
- Density: 7.21 g/cm³



Q.
The following is a DFT calculation (PBE) of a relaxed structure of Er2ScZn2.

a b c (Å): 3.5166 4.9549 12.9811
angles (deg): 90.00 97.82 90.00
Space group P2_1/m (No. 11)
Unique sites:
Er 0.0458 0.2500 0.0913 (multiplicity 2)
Er 0.2322 0.2500 0.4652 (multiplicity 2)
Sc 0.1456 0.7500 0.2908 (multiplicity 2)
Zn 0.3601 0.7500 0.7208 (multiplicity 2)
Zn 0.4460 0.2500 0.8912 (multiplicity 2)

- Volume: 224 Å³ per cell
- Density: 7.56 g/cm³



Stability summary - winner: Q; margin: 68 meV per atom.



P.
The following is a DFT calculation (PBE) of a relaxed structure of Er3Sc2Zn2.

a b c (Å): 5.0684 5.0684 22.3013
angles (deg): 90.00 90.00 120.00
Space group R-3m (No. 166, hexagonal axes)
Unique sites:
Er 0.0000 0.0000 0.0000 (multiplicity 3)
Er 0.0000 0.0000 0.1564 (multiplicity 6)
Sc 0.0000 0.0000 0.4219 (multiplicity 6)
Zn 0.0000 0.0000 0.2878 (multiplicity 6)

- Volume: 496 Å³ per cell
- Density: 7.26 g/cm³



Q.
The following is a DFT calculation (PBE) of a relaxed structure of Er3Sc2Zn2.

a b c (Å): 3.4689 29.5801 3.3707
angles (deg): 90.00 90.00 90.00
Space group Cmmm (No. 65)
Unique sites:
Er 0.0000 0.0000 0.0000 (multiplicity 2)
Er 0.0000 0.1245 0.0000 (multiplicity 4)
Sc 0.0000 0.2956 0.5000 (multiplicity 4)
Zn 0.0000 0.4388 0.5000 (multiplicity 4)

- Volume: 346 Å³ per cell
- Density: 6.94 g/cm³



Stability summary - winner: P; margin: 19 meV per atom.